{"formula": "Zn2TcNi", "functional": "GGA-PBE", "state": "optimized geometry", "space_group": "I-4m2 (119)", "total_energy_ev_per_atom": -4.5726, "relative_energy_mev_per_atom": 136, "delta_e_f_ev_per_atom": 0.101, "lattice": [[4.5937, -0.0172, 0.0000], [1.4934, 4.3442, 0.0000], [-3.0436, -2.1635, 2.6755]], "species": ["Ni", "Tc", "Zn", "Zn"], "fractional_positions": [[0.5000, 0.5000, 0.0000], [0.7500, 0.2500, 0.5000], [0.0000, 0.0000, 0.0000], [0.2500, 0.7500, 0.5000]]}